{
  "formula": "Tb4Pr5Cd",
  "functional": "PBE",
  "state": "relaxed",
  "energy_ev_per_atom": -4.379,
  "formation_enthalpy_0k_ev_per_atom": -0.045,
  "lattice": [[3.6718, 0.0000, 0.0000], [0.0000, 3.6718, 0.0000], [0.0000, 0.0000, 24.6107]],
  "species": ["Tb", "Tb", "Tb", "Tb", "Pr", "Pr", "Pr", "Pr", "Pr", "Cd"],
  "frac_coords": [[0.0000, 0.0000, 0.1032], [0.0000, 0.0000, 0.3093], [0.0000, 0.0000, 0.6907], [0.0000, 0.0000, 0.8968], [0.5000, 0.5000, 0.0000], [0.5000, 0.5000, 0.2062], [0.5000, 0.5000, 0.4127], [0.5000, 0.5000, 0.5873], [0.5000, 0.5000, 0.7938], [0.0000, 0.0000, 0.5000]]
}

{
  "formula": "ZrW",
  "functional": "PBE",
  "state": "relaxed",
  "energy_ev_per_atom": -10.627,
  "formation_enthalpy_0k_ev_per_atom": 0.124,
  "lattice": [[5.2274, -1.6364, 0.0000], [5.2274, 1.6364, 0.0000], [-2.5567, 0.0000, 6.7089]],
  "species": ["Zr", "Zr", "Zr", "W", "W", "W"],
  "frac_coords": [[0.0000, 0.0000, 0.0000], [0.3295, 0.3295, 0.1898], [0.6705, 0.6705, 0.8102], [0.0000, 0.0000, 0.5000], [0.3371, 0.3371, 0.6382], [0.6629, 0.6629, 0.3618]]
}

{
  "formula": "ZnIrRh3",
  "functional": "PBE",
  "state": "relaxed",
  "energy_ev_per_atom": -5.168,
  "formation_enthalpy_0k_ev_per_atom": 1.270,
  "de_polymorph_mev_per_atom": 1362,
  "lattice": [[4.7243, 0.0000, 0.0000], [0.0000, 4.7243, 0.0000], [0.0000, 0.0000, 4.7243]],
  "species": ["Zn", "Ir", "Rh", "Rh", "Rh"],
  "frac_coords": [[0.0000, 0.0000, 0.0000], [0.5000, 0.5000, 0.5000], [0.0000, 0.5000, 0.5000], [0.5000, 0.0000, 0.5000], [0.5000, 0.5000, 0.0000]]
}

{
  "formula": "Pu3P4Ir",
  "functional": "PBE",
  "state": "relaxed",
  "energy_ev_per_atom": -10.089,
  "formation_enthalpy_0k_ev_per_atom": -0.902,
  "lattice": [[-2.0468, 2.8805, 6.7523], [2.0468, -2.8805, 6.7523], [2.0468, 2.8805, -6.7523]],
  "species": ["Pu", "Pu", "Pu", "P", "P", "P", "P", "Ir"],
  "frac_coords": [[0.0000, 0.0000, 0.0000], [0.3152, 0.8152, 0.5000], [0.6848, 0.1848, 0.5000], [0.0820, 0.3758, 0.7062], [0.3304, 0.6242, 0.7062], [0.6696, 0.3758, 0.2938], [0.9180, 0.6242, 0.2938], [0.5000, 0.5000, 0.0000]]
}

{
  "formula": "Na2PuGaO4",
  "functional": "PBE",
  "state": "relaxed",
  "energy_ev_per_atom": -6.907,
  "e_form_raw_ev_per_fu": -15.427,
  "lattice": [[5.8660, 0.0000, 0.0000], [0.0000, 3.4547, 0.0000], [-2.1747, 0.0000, 5.8217]],
  "species": ["Na", "Na", "Pu", "Ga", "O", "O", "O", "O"],
  "frac_coords": [[0.0000, 0.0000, 0.0000], [0.0000, 0.5000, 0.5000], [0.5000, 0.0000, 0.5000], [0.5000, 0.5000, 0.0000], [0.2826, 0.5000, 0.2827], [0.2852, 0.0000, 0.6883], [0.7148, 0.0000, 0.3117], [0.7174, 0.5000, 0.7173]]
}

{
  "formula": "Zn2CrTc2",
  "functional": "PBE",
  "state": "relaxed",
  "energy_ev_per_atom": -6.121,
  "formation_enthalpy_0k_ev_per_atom": 0.459,
  "lattice": [[6.5333, 0.0000, 0.0000], [0.0000, 6.5333, 0.0000], [0.0000, 0.0000, 3.2826]],
  "species": ["Zn", "Zn", "Zn", "Zn", "Cr", "Cr", "Tc", "Tc", "Tc", "Tc"],
  "frac_coords": [[0.1295, 0.3705, 0.0000], [0.3705, 0.8705, 0.0000], [0.6295, 0.1295, 0.0000], [0.8705, 0.6295, 0.0000], [0.0000, 0.0000, 0.0000], [0.5000, 0.5000, 0.0000], [0.1723, 0.6723, 0.5000], [0.3277, 0.1723, 0.5000], [0.6723, 0.8277, 0.5000], [0.8277, 0.3277, 0.5000]]
}

{
  "formula": "AcSnCl",
  "functional": "PBE",
  "state": "relaxed",
  "energy_ev_per_atom": -4.641,
  "e_form_raw_ev_per_fu": -3.966,
  "lattice": [[4.6604, -2.2703, 0.0000], [4.6604, 2.2703, 0.0000], [-2.4524, 0.0000, 9.0633]],
  "species": ["Ac", "Ac", "Sn", "Sn", "Cl", "Cl"],
  "frac_coords": [[0.0991, 0.0991, 0.2480], [0.9009, 0.9009, 0.7520], [0.3564, 0.3564, 0.0331], [0.6436, 0.6436, 0.9669], [0.1777, 0.1777, 0.6014], [0.8223, 0.8223, 0.3986]]
}

{
  "formula": "Dy2Ga3Au4",
  "functional": "PBE",
  "state": "relaxed",
  "energy_ev_per_atom": -4.088,
  "formation_enthalpy_0k_ev_per_atom": -0.600,
  "lattice": [[2.9227, -7.8306, 0.0000], [2.9227, 7.8306, 0.0000], [0.0000, 0.0000, 7.8089]],
  "species": ["Dy", "Dy", "Dy", "Dy", "Ga", "Ga", "Ga", "Ga", "Ga", "Ga", "Au", "Au", "Au", "Au", "Au", "Au", "Au", "Au"],
  "frac_coords": [[0.1078, 0.8922, 0.9044], [0.3922, 0.6078, 0.4044], [0.6078, 0.3922, 0.5956], [0.8922, 0.1078, 0.0956], [0.0000, 0.0000, 0.5000], [0.0202, 0.4798, 0.7500], [0.4798, 0.0202, 0.2500], [0.5000, 0.5000, 0.0000], [0.5202, 0.9798, 0.7500], [0.9798, 0.5202, 0.2500], [0.1770, 0.8230, 0.5284], [0.1929, 0.3071, 0.7500], [0.3071, 0.1929, 0.2500], [0.3230, 0.6770, 0.0284], [0.6770, 0.3230, 0.9716], [0.6929, 0.8071, 0.7500], [0.8071, 0.6929, 0.2500], [0.8230, 0.1770, 0.4716]]
}

{
  "formula": "Sr2AsF",
  "functional": "PBE",
  "state": "relaxed",
  "energy_ev_per_atom": -4.373,
  "e_form_raw_ev_per_fu": -7.608,
  "de_polymorph_mev_per_atom": 170,
  "lattice": [[-3.0474, 3.0474, 6.8387], [3.0474, -3.0474, 6.8387], [3.0474, 3.0474, -6.8387]],
  "species": ["Sr", "Sr", "Sr", "Sr", "As", "As", "F", "F"],
  "frac_coords": [[0.0729, 0.6250, 0.9479], [0.3750, 0.3229, 0.4479], [0.6771, 0.1250, 0.0521], [0.8750, 0.9271, 0.5521], [0.2500, 0.7500, 0.5000], [0.5000, 0.5000, 0.0000], [0.0000, 0.0000, 0.0000], [0.7500, 0.2500, 0.5000]]
}

{
  "formula": "CdTcAs2",
  "functional": "PBE",
  "state": "relaxed",
  "energy_ev_per_atom": -5.208,
  "formation_enthalpy_0k_ev_per_atom": -0.063,
  "lattice": [[3.0576, 0.0000, 0.0000], [0.0000, 3.0576, 0.0000], [0.0000, 0.0000, 8.5078]],
  "species": ["Cd", "Tc", "As", "As"],
  "frac_coords": [[0.0000, 0.0000, 0.0000], [0.0000, 0.0000, 0.5000], [0.5000, 0.5000, 0.3237], [0.5000, 0.5000, 0.6763]]
}

{
  "formula": "ZrRh2F",
  "functional": "PBE",
  "state": "relaxed",
  "energy_ev_per_atom": -6.770,
  "e_form_raw_ev_per_fu": -1.957,
  "de_polymorph_mev_per_atom": 78,
  "lattice": [[0.0000, 3.1296, 3.1296], [3.1296, 0.0000, 3.1296], [3.1296, 3.1296, 0.0000]],
  "species": ["Zr", "Rh", "Rh", "F"],
  "frac_coords": [[0.0000, 0.0000, 0.0000], [0.2500, 0.2500, 0.2500], [0.7500, 0.7500, 0.7500], [0.5000, 0.5000, 0.5000]]
}

{
  "formula": "BaTaOs2",
  "functional": "PBE",
  "state": "relaxed",
  "energy_ev_per_atom": -7.963,
  "formation_enthalpy_0k_ev_per_atom": 1.096,
  "de_polymorph_mev_per_atom": 742,
  "lattice": [[-3.7965, 3.7965, 3.1749], [3.7965, -3.7965, 3.1749], [3.7965, 3.7965, -3.1749]],
  "species": ["Ba", "Ba", "Ta", "Ta", "Os", "Os", "Os", "Os"],
  "frac_coords": [[0.0000, 0.0000, 0.0000], [0.7500, 0.2500, 0.5000], [0.2500, 0.7500, 0.5000], [0.5000, 0.5000, 0.0000], [0.1800, 0.1250, 0.5550], [0.3750, 0.8200, 0.9450], [0.5700, 0.6250, 0.4450], [0.8750, 0.4300, 0.0550]]
}